Entry 1:
# MgZnN2

A relaxed structure of MgZnN2 (GGA-PBE, Alexandria).

Cell lengths 3.834, 3.834, 3.834 Å; angles 60.00, 60.00, 60.00 degrees
Sites, in units of the cell vectors:
Zn1 0.500 0.500 0.500
Mg1 0.000 0.000 0.000
N1 0.250 0.250 0.250
N2 0.750 0.750 0.750

Properties
The formation energy (no corrections) is 0.660 eV per atom. The volume comes out at 9.96 A^3/atom.

Entry 2:
# Mg2ZnN2

A relaxed structure of Mg2ZnN2 (GGA-PBE, Alexandria).

Cell lengths 3.158, 3.158, 6.532 Å; angles 103.99, 103.99, 90.00 degrees
Sites, in units of the cell vectors:
Mg1 0.672 0.672 0.344
Mg2 0.328 0.328 0.656
Zn1 0.000 0.000 0.000
N1 0.849 0.849 0.698
N2 0.151 0.151 0.302

Properties
The formation energy (no corrections) is -0.463 eV per atom. The volume comes out at 12.24 A^3/atom.

Entry 3:
# MgZnN2

A relaxed structure of MgZnN2 (GGA-PBE, Alexandria).

Cell lengths 4.899, 4.899, 5.473 Å; angles 63.41, 63.41, 90.00 degrees
Sites, in units of the cell vectors:
Zn1 0.000 0.000 0.000
Zn2 0.750 0.250 0.500
Mg1 0.500 0.500 0.000
Mg2 0.250 0.750 0.500
N1 0.647 0.125 0.250
N2 0.103 0.625 0.250
N3 0.375 0.353 0.750
N4 0.875 0.897 0.750

Properties
The formation energy (no corrections) is 0.400 eV per atom. The volume comes out at 12.71 A^3/atom.

Entry 4:
# Mg3ZnN

A relaxed structure of Mg3ZnN (GGA-PBE, Alexandria).

Cell lengths 4.293, 4.293, 4.293 Å; angles 90.00, 90.00, 90.00 degrees
Sites, in units of the cell vectors:
Zn1 0.500 0.500 0.500
Mg1 0.000 0.500 0.000
Mg2 0.000 0.000 0.500
Mg3 0.500 0.000 0.000
N1 0.000 0.000 0.000

Properties
The formation energy (no corrections) is -0.321 eV per atom. Its energy above the lowest structure with this stoichiometry is 0 meV/atom. The volume comes out at 15.82 A^3/atom.

Entry 5:
# MgZn3N

A relaxed structure of MgZn3N (GGA-PBE, Alexandria).

Cell lengths 4.274, 4.274, 4.274 Å; angles 90.00, 90.00, 90.00 degrees
Sites, in units of the cell vectors:
Zn1 0.000 0.500 0.000
Zn2 0.000 0.000 0.500
Zn3 0.500 0.000 0.000
Mg1 0.500 0.500 0.500
N1 0.000 0.000 0.000

Properties
The formation energy (no corrections) is 0.422 eV per atom. Its energy above the lowest structure with this stoichiometry is 0 meV/atom. The volume comes out at 15.61 A^3/atom.

Entry 6:
# MgZrN3

A relaxed structure of MgZrN3 (GGA-PBE, Alexandria).

Cell lengths 4.199, 4.199, 4.199 Å; angles 90.00, 90.00, 90.00 degrees
Sites, in units of the cell vectors:
Mg1 0.500 0.500 0.500
Zr1 0.000 0.000 0.000
N1 0.000 0.500 0.000
N2 0.000 0.000 0.500
N3 0.500 0.000 0.000

Properties
The formation energy (no corrections) is 0.406 eV per atom. The volume comes out at 14.81 A^3/atom.

Entry 7:
# MgZrN2

A relaxed structure of MgZrN2 (GGA-PBE, Alexandria).

Cell lengths 4.504, 6.472, 7.463 Å; angles 90.00, 90.00, 90.00 degrees
Sites, in units of the cell vectors:
Mg1 0.750 0.579 0.119
Mg2 0.250 0.421 0.881
Mg3 0.250 0.921 0.619
Mg4 0.750 0.079 0.381
Zr1 0.750 0.589 0.630
Zr2 0.250 0.411 0.370
Zr3 0.250 0.911 0.130
Zr4 0.750 0.089 0.870
N1 0.250 0.581 0.616
N2 0.750 0.419 0.384
N3 0.750 0.919 0.116
N4 0.250 0.081 0.884
N5 0.250 0.583 0.130
N6 0.750 0.417 0.870
N7 0.750 0.917 0.630
N8 0.250 0.083 0.370

Properties
The formation energy (no corrections) is -1.311 eV per atom. The volume comes out at 13.60 A^3/atom.

Entry 8:
# MgZrN2

A relaxed structure of MgZrN2 (GGA-PBE, Alexandria).

Cell lengths 3.227, 3.227, 10.574 Å; angles 90.00, 90.00, 120.00 degrees
Sites, in units of the cell vectors:
Mg1 0.667 0.333 0.250
Mg2 0.333 0.667 0.750
Zr1 0.000 0.000 0.500
Zr2 0.000 0.000 0.000
N1 0.333 0.667 0.383
N2 0.667 0.333 0.883
N3 0.667 0.333 0.617
N4 0.333 0.667 0.117

Properties
The formation energy (no corrections) is -1.243 eV per atom. The volume comes out at 11.92 A^3/atom.

Entry 9:
# Mg2Zr4N

A relaxed structure of Mg2Zr4N (GGA-PBE, Alexandria).

Cell lengths 4.463, 4.463, 8.289 Å; angles 74.38, 74.38, 90.00 degrees
Sites, in units of the cell vectors:
Mg1 0.353 0.353 0.293
Mg2 0.647 0.647 0.707
Zr1 0.145 0.145 0.709
Zr2 0.855 0.855 0.291
Zr3 0.000 0.500 0.000
Zr4 0.500 0.000 0.000
N1 0.000 0.000 0.000

Properties
The formation energy (no corrections) is -0.256 eV per atom. The volume comes out at 21.81 A^3/atom.

Entry 10:
# MgZr3N

A relaxed structure of MgZr3N (GGA-PBE, Alexandria).

Cell lengths 4.941, 6.533, 6.123 Å; angles 90.00, 89.95, 90.00 degrees
Sites, in units of the cell vectors:
Mg1 0.742 0.250 0.686
Mg2 0.258 0.750 0.314
Zr1 0.752 0.001 0.125
Zr2 0.248 0.999 0.875
Zr3 0.752 0.499 0.125
Zr4 0.248 0.501 0.875
Zr5 0.242 0.250 0.347
Zr6 0.758 0.750 0.653
N1 0.799 0.250 0.346
N2 0.201 0.750 0.654

Properties
The formation energy (no corrections) is -0.337 eV per atom. The volume comes out at 19.76 A^3/atom.

Entry 11:
# MgZr3N

A relaxed structure of MgZr3N (GGA-PBE, Alexandria).

Cell lengths 3.578, 3.578, 19.255 Å; angles 90.00, 90.00, 120.00 degrees
Sites, in units of the cell vectors:
Mg1 0.000 0.000 0.000
Mg2 0.000 0.000 0.500
Zr1 0.000 0.000 0.250
Zr2 0.000 0.000 0.750
Zr3 0.333 0.667 0.875
Zr4 0.333 0.667 0.625
Zr5 0.667 0.333 0.375
Zr6 0.667 0.333 0.125
N1 0.333 0.667 0.750
N2 0.667 0.333 0.250

Properties
The formation energy (no corrections) is -0.315 eV per atom. The volume comes out at 21.34 A^3/atom.

Entry 12:
# MgZr3N

A relaxed structure of MgZr3N (GGA-PBE, Alexandria).

Cell lengths 6.422, 6.460, 5.600 Å; angles 90.01, 74.01, 120.19 degrees
Sites, in units of the cell vectors:
Mg1 0.286 0.873 0.644
Mg2 0.787 0.623 0.150
Zr1 0.290 0.139 0.145
Zr2 0.280 0.370 0.649
Zr3 0.786 0.370 0.656
Zr4 0.780 0.120 0.165
Zr5 0.290 0.610 0.145
Zr6 0.786 0.875 0.656
N1 0.036 0.247 0.405
N2 0.543 0.501 0.892

Properties
The formation energy (no corrections) is -0.640 eV per atom. The volume comes out at 19.03 A^3/atom.

Entry 13:
# MgZr3N

A relaxed structure of MgZr3N (GGA-PBE, Alexandria).

Cell lengths 6.202, 6.202, 7.145 Å; angles 64.28, 64.28, 90.00 degrees
Sites, in units of the cell vectors:
Mg1 0.623 0.123 0.754
Mg2 0.877 0.377 0.246
Zr1 0.129 0.877 0.246
Zr2 0.123 0.871 0.754
Zr3 0.123 0.375 0.754
Zr4 0.625 0.877 0.246
Zr5 0.378 0.378 0.245
Zr6 0.622 0.622 0.755
N1 0.000 0.000 0.000
N2 0.250 0.750 0.500

Properties
The formation energy (no corrections) is -0.158 eV per atom. The volume comes out at 21.70 A^3/atom.

Entry 14:
# MgZr2N

A relaxed structure of MgZr2N (GGA-PBE, Alexandria).

Cell lengths 4.601, 4.601, 4.601 Å; angles 60.00, 60.00, 60.00 degrees
Sites, in units of the cell vectors:
Mg1 0.500 0.500 0.500
Zr1 0.250 0.250 0.250
Zr2 0.750 0.750 0.750
N1 0.000 0.000 0.000

Properties
The formation energy (no corrections) is 0.728 eV per atom. Its energy above the lowest structure with this stoichiometry is 1584 meV/atom. The volume comes out at 17.21 A^3/atom.

Entry 15:
# MgZr3N

A relaxed structure of MgZr3N (GGA-PBE, Alexandria).

Cell lengths 8.569, 8.569, 8.569 Å; angles 60.00, 60.00, 60.00 degrees
Sites, in units of the cell vectors:
Mg1 0.625 0.625 0.625
Mg2 0.625 0.125 0.625
Mg3 0.125 0.625 0.625
Mg4 0.625 0.625 0.125
Zr1 0.819 0.181 0.181
Zr2 0.069 0.431 0.431
Zr3 0.431 0.431 0.069
Zr4 0.431 0.069 0.069
Zr5 0.069 0.431 0.069
Zr6 0.819 0.181 0.819
Zr7 0.431 0.069 0.431
Zr8 0.069 0.069 0.431
Zr9 0.181 0.819 0.181
Zr10 0.181 0.819 0.819
Zr11 0.181 0.181 0.819
Zr12 0.819 0.819 0.181
N1 0.125 0.125 0.125
N2 0.125 0.625 0.125
N3 0.625 0.125 0.125
N4 0.125 0.125 0.625

Properties
The formation energy (no corrections) is -0.376 eV per atom. The volume comes out at 22.25 A^3/atom.

Entry 16:
# MgZr3N

A relaxed structure of MgZr3N (GGA-PBE, Alexandria).

Cell lengths 5.311, 13.552, 5.523 Å; angles 90.00, 90.00, 90.00 degrees
Sites, in units of the cell vectors:
Mg1 0.000 0.000 0.500
Mg2 0.500 0.500 0.000
Mg3 0.500 0.000 0.000
Mg4 0.000 0.500 0.500
Zr1 0.000 0.863 0.939
Zr2 0.500 0.363 0.439
Zr3 0.500 0.137 0.439
Zr4 0.000 0.363 0.061
Zr5 0.000 0.137 0.061
Zr6 0.500 0.637 0.561
Zr7 0.500 0.863 0.561
Zr8 0.000 0.637 0.939
Zr9 0.500 0.250 0.930
Zr10 0.000 0.750 0.430
Zr11 0.500 0.750 0.070
Zr12 0.000 0.250 0.570
N1 0.750 0.250 0.250
N2 0.750 0.750 0.750
N3 0.250 0.750 0.750
N4 0.250 0.250 0.250

Properties
The formation energy (no corrections) is -0.551 eV per atom. The volume comes out at 19.88 A^3/atom.

Entry 17:
# MgZr2N

A relaxed structure of MgZr2N (GGA-PBE, Alexandria).

Cell lengths 3.316, 5.696, 7.973 Å; angles 104.56, 90.00, 90.00 degrees
Sites, in units of the cell vectors:
Mg1 0.778 0.843 0.052
Mg2 0.278 0.343 0.052
Zr1 0.778 0.621 0.391
Zr2 0.278 0.121 0.391
Zr3 0.278 0.565 0.712
Zr4 0.778 0.065 0.712
N1 0.278 0.843 0.552
N2 0.778 0.343 0.552

Properties
The formation energy (no corrections) is -0.856 eV per atom. Its energy above the lowest structure with this stoichiometry is 0 meV/atom. The volume comes out at 18.22 A^3/atom.

Entry 18:
# MgZr4N

A relaxed structure of MgZr4N (GGA-PBE, Alexandria).

Cell lengths 6.084, 6.314, 6.261 Å; angles 90.00, 94.85, 90.00 degrees
Sites, in units of the cell vectors:
Mg1 0.000 0.000 0.000
Mg2 0.500 0.500 0.000
Zr1 0.932 0.618 0.183
Zr2 0.568 0.118 0.817
Zr3 0.318 0.324 0.411
Zr4 0.182 0.824 0.589
Zr5 0.068 0.382 0.817
Zr6 0.432 0.882 0.183
Zr7 0.682 0.676 0.589
Zr8 0.818 0.176 0.411
N1 0.500 0.000 0.500
N2 0.000 0.500 0.500

Properties
The formation energy (no corrections) is -0.351 eV per atom. The volume comes out at 19.97 A^3/atom.

Entry 19:
# MgZr2N

A relaxed structure of MgZr2N (GGA-PBE, Alexandria).

Cell lengths 3.307, 3.307, 7.987 Å; angles 78.05, 78.05, 60.00 degrees
Sites, in units of the cell vectors:
Mg1 0.500 0.500 0.501
Zr1 0.053 0.053 0.842
Zr2 0.280 0.280 0.159
N1 0.667 0.667 0.999

Properties
The formation energy (no corrections) is -0.847 eV per atom. Its energy above the lowest structure with this stoichiometry is 9 meV/atom. The volume comes out at 18.36 A^3/atom.

Entry 20:
# MgZr3N

A relaxed structure of MgZr3N (GGA-PBE, Alexandria).

Cell lengths 11.854, 8.419, 8.419 Å; angles 76.63, 123.04, 56.96 degrees
Sites, in units of the cell vectors:
Mg1 0.069 0.501 0.377
Mg2 0.431 0.877 0.001
Mg3 0.931 0.499 0.623
Mg4 0.569 0.123 0.999
Zr1 0.417 0.401 0.465
Zr2 0.083 0.965 0.901
Zr3 0.583 0.599 0.535
Zr4 0.917 0.035 0.099
Zr5 0.084 0.228 0.145
Zr6 0.416 0.645 0.728
Zr7 0.916 0.772 0.855
Zr8 0.584 0.355 0.272
Zr9 0.568 0.864 0.752
Zr10 0.932 0.252 0.364
Zr11 0.432 0.136 0.248
Zr12 0.068 0.748 0.636
N1 0.750 0.186 0.686
N2 0.250 0.814 0.314
N3 0.750 0.442 0.942
N4 0.250 0.558 0.058

Properties
The formation energy (no corrections) is -0.648 eV per atom. The volume comes out at 19.45 A^3/atom.

Entry 21:
# MgZrN3

A relaxed structure of MgZrN3 (GGA-PBE, Alexandria).

Cell lengths 3.810, 3.810, 3.810 Å; angles 90.00, 90.00, 90.00 degrees
Sites, in units of the cell vectors:
Mg1 0.000 0.000 0.000
Zr1 0.500 0.500 0.500
N1 0.000 0.500 0.000
N2 0.000 0.000 0.500
N3 0.500 0.000 0.000

Properties
The formation energy (no corrections) is 0.650 eV per atom. The volume comes out at 11.06 A^3/atom.

Entry 22:
# MgZrN

A relaxed structure of MgZrN (GGA-PBE, Alexandria).

Cell lengths 3.595, 3.595, 10.838 Å; angles 80.45, 80.45, 60.00 degrees
Sites, in units of the cell vectors:
N1 0.304 0.304 0.087
N2 0.696 0.696 0.913
Zr1 0.374 0.374 0.877
Zr2 0.626 0.626 0.123
Mg1 0.872 0.872 0.385
Mg2 0.128 0.128 0.615

Properties
The formation energy (no corrections) is -0.786 eV per atom. The volume comes out at 19.85 A^3/atom.

Entry 23:
# MgZr2N

A relaxed structure of MgZr2N (GGA-PBE, Alexandria).

Cell lengths 6.696, 6.696, 5.972 Å; angles 55.90, 55.90, 90.00 degrees
Sites, in units of the cell vectors:
Mg1 0.000 0.000 0.000
Mg2 0.750 0.250 0.500
Zr1 0.512 0.125 0.250
Zr2 0.238 0.625 0.250
Zr3 0.375 0.488 0.750
Zr4 0.875 0.762 0.750
N1 0.500 0.500 0.000
N2 0.250 0.750 0.500

Properties
The formation energy (no corrections) is -0.371 eV per atom. Its energy above the lowest structure with this stoichiometry is 485 meV/atom. The volume comes out at 20.40 A^3/atom.